Entry 1:
# TbYOs

An optimized crystal structure of TbYOs (PBE-GGA, OQMD via LeMat-Bulk).

Properties
The energy is -6.678 eV per atom. The calculation puts the spin magnetization at 0.004 μB/f.u. The symmetry is F-43m.

Lattice parameters (Å, degrees): 4.7330 4.7330 4.7330 60.00 60.00 60.00
With the nearest neighbours (Å) after each atom.
Positions (direct):
Tb (0.0000, 0.0000, 0.0000)  4 Y 2.90
Y (0.7500, 0.7500, 0.7500)  4 Os 2.90, 4 Tb 2.90
Os (0.5000, 0.5000, 0.5000)  4 Y 2.90

=====

Entry 2:
# RbTbFeTe3

An optimized crystal structure of RbTbFeTe3 (PBE-GGA, OQMD via LeMat-Bulk).

Properties
The energy is -4.758 eV per atom. The calculation puts the spin magnetization at 4.001 μB/f.u. The symmetry is Pnma.

Lattice parameters (Å, degrees): 11.5582 4.4066 16.2535 90.00 90.00 90.00
With the nearest neighbours (Å) after each atom.
Positions (direct):
Rb (0.2370, 0.2500, 0.0034)  7 Te 3.69-3.89
Rb (0.2630, 0.7500, 0.5034)  7 Te 3.69-3.89
Rb (0.7370, 0.2500, 0.4966)  7 Te 3.69-3.89
Rb (0.7630, 0.7500, 0.9966)  7 Te 3.69-3.89
Tb (0.0124, 0.7500, 0.2518)  6 Te 3.08-3.11
Tb (0.4876, 0.2500, 0.7518)  6 Te 3.08-3.11
Tb (0.5124, 0.7500, 0.2482)  6 Te 3.08-3.11
Tb (0.9876, 0.2500, 0.7482)  6 Te 3.08-3.11
Fe (0.2397, 0.7500, 0.7823)  4 Te 2.63-2.71
Fe (0.2603, 0.2500, 0.2823)  4 Te 2.63-2.71
Fe (0.7397, 0.7500, 0.7177)  4 Te 2.63-2.71
Fe (0.7603, 0.2500, 0.2177)  4 Te 2.63-2.71
Te (0.0527, 0.7500, 0.8747)  1 Fe 2.63
Te (0.0763, 0.2500, 0.3777)  1 Fe 2.63
Te (0.2384, 0.2500, 0.6848)  2 Fe 2.71
Te (0.2616, 0.7500, 0.1848)  2 Fe 2.71
Te (0.4237, 0.7500, 0.8777)  1 Fe 2.63
Te (0.4473, 0.2500, 0.3747)  1 Fe 2.63
Te (0.5527, 0.7500, 0.6253)  1 Fe 2.63
Te (0.5763, 0.2500, 0.1223)  1 Fe 2.63
Te (0.7384, 0.2500, 0.8152)  2 Fe 2.71
Te (0.7616, 0.7500, 0.3152)  2 Fe 2.71
Te (0.9237, 0.7500, 0.6223)  1 Fe 2.63
Te (0.9473, 0.2500, 0.1253)  1 Fe 2.63

=====

Entry 3:
# LaAl2HgPt

An optimized crystal structure of LaAl2HgPt (PBE-GGA, OQMD via LeMat-Bulk).

Properties
The energy is -4.396 eV per atom. The calculation puts the spin magnetization at 0.001 μB/f.u. The symmetry is I-4m2.

Lattice parameters (Å, degrees): 6.1333 6.1333 6.1333 136.69 136.69 62.92
With the nearest neighbours (Å) after each atom.
Positions (direct):
La (0.0000, 0.0000, 0.0000)  8 Al 3.46, 4 Hg 3.46, 4 Pt 3.46
Al (0.3755, 0.3755, 0.0000)  1 Al 2.61, 2 Hg 2.62, 2 Pt 2.62
Al (0.6245, 0.6245, 0.0000)  1 Al 2.61, 2 Hg 2.62, 2 Pt 2.62
Hg (0.7500, 0.2500, 0.5000)  4 Al 2.62
Pt (0.2500, 0.7500, 0.5000)  4 Al 2.62

=====

Entry 4:
# NaGa2Pd2

An optimized crystal structure of NaGa2Pd2 (PBE-GGA, OQMD via LeMat-Bulk).

Properties
The energy is -4.078 eV per atom. The symmetry is P4/mbm.

Lattice parameters (Å, degrees): 7.6759 7.6759 2.8295 90.00 90.00 90.00
With the nearest neighbours (Å) after each atom.
Positions (direct):
Na (0.0000, 0.0000, 0.0000)  2 Na 2.83, 4 Ga 3.02
Na (0.5000, 0.5000, 0.0000)  2 Na 2.83, 4 Ga 3.02
Ga (0.1281, 0.3719, 0.0000)  6 Pd 2.61-2.71, 3 Ga 2.78-2.83
Ga (0.3719, 0.8719, 0.0000)  6 Pd 2.61-2.71, 3 Ga 2.78-2.83
Ga (0.6281, 0.1281, 0.0000)  6 Pd 2.61-2.71, 3 Ga 2.78-2.83
Ga (0.8719, 0.6281, 0.0000)  6 Pd 2.61-2.71, 3 Ga 2.78-2.83
Pd (0.1694, 0.6694, 0.5000)  6 Ga 2.61-2.71, 2 Pd 2.83
Pd (0.3306, 0.1694, 0.5000)  6 Ga 2.61-2.71, 2 Pd 2.83
Pd (0.6694, 0.8306, 0.5000)  6 Ga 2.61-2.71, 2 Pd 2.83
Pd (0.8306, 0.3306, 0.5000)  6 Ga 2.61-2.71, 2 Pd 2.83

=====

What did the third record say?
# LaAl2HgPt

An optimized crystal structure of LaAl2HgPt (PBE-GGA, OQMD via LeMat-Bulk).

Properties
The energy is -4.396 eV per atom. The calculation puts the spin magnetization at 0.001 μB/f.u. The symmetry is I-4m2.

Lattice parameters (Å, degrees): 6.1333 6.1333 6.1333 136.69 136.69 62.92
With the nearest neighbours (Å) after each atom.
Positions (direct):
La (0.0000, 0.0000, 0.0000)  8 Al 3.46, 4 Hg 3.46, 4 Pt 3.46
Al (0.3755, 0.3755, 0.0000)  1 Al 2.61, 2 Hg 2.62, 2 Pt 2.62
Al (0.6245, 0.6245, 0.0000)  1 Al 2.61, 2 Hg 2.62, 2 Pt 2.62
Hg (0.7500, 0.2500, 0.5000)  4 Al 2.62
Pt (0.2500, 0.7500, 0.5000)  4 Al 2.62